First-principles (PBE+U) data for an optimized crystal structure of MnSeO2F, as listed in the Alexandria database.

```
5
Lattice="3.935 0.000 0.000 0.000 3.935 0.000 0.000 0.000 4.537" Properties=species:S:1:pos:R:3 pbc="T T T"
O 0.000 1.967 0.000
O 1.967 0.000 0.000
Mn 1.967 1.967 2.268
F 0.000 0.000 2.268
Se 0.000 0.000 0.000
```

Calculated values
E_tot (eV/atom): -5.080